Record 1
Entry from Alexandria via LeMat-Bulk: crystalline Ce5TmAs6 at its relaxed geometry (PBE).

Values from the calculation:
**Total magnetic moment**: 7.16 μB/cell
**ΔH_f (0 K)**: -1.43 eV per atom

CIF file:
```
data_Ce5TmAs6
_chemical_formula_sum 'Ce10 Tm2 As12'
_space_group_name_H-M_alt 'C 1 2/m 1'
_space_group_IT_number 12
_cell_length_a 7.2627
_cell_length_b 12.5782
_cell_length_c 7.2634
_cell_angle_alpha 90.00
_cell_angle_beta 109.50
_cell_angle_gamma 90.00
loop_
_space_group_symop_operation_xyz
'x,y,z'
'-x,-y,-z'
'-x,y,-z'
'x,-y,z'
'x+1/2,y+1/2,z'
'-x+1/2,-y+1/2,-z'
'-x+1/2,y+1/2,-z'
'x+1/2,-y+1/2,z'
loop_
_atom_site_label
_atom_site_fract_x
_atom_site_fract_y
_atom_site_fract_z
Ce1 0.0000 0.0000 0.0000
Ce2 0.0000 0.1663 0.5000
Ce3 0.0000 0.3322 0.0000
Tm1 0.0000 0.5000 0.5000
As1 0.2465 0.3354 0.7462
As2 0.2462 0.5000 0.2520
```


Record 2
Entry from Alexandria via LeMat-Bulk: crystalline CeTmAs2 at its relaxed geometry (PBE).

Values from the calculation:
**Total magnetic moment**: 1.96 μB/cell
**ΔH_f (0 K)**: -1.46 eV per atom
**ΔE to the lowest computed polymorph**: 0.00 kcal/mol of atoms

CIF file:
```
data_CeTmAs2
_chemical_formula_sum 'Ce3 Tm3 As6'
_space_group_name_H-M_alt 'R -3 m'
_space_group_IT_number 166
_space_group_name_Hall '-R 3 2"'
_cell_length_a 4.1448
_cell_length_b 4.1448
_cell_length_c 20.2305
_cell_angle_alpha 90.00
_cell_angle_beta 90.00
_cell_angle_gamma 120.00
loop_
_atom_site_label
_atom_site_fract_x
_atom_site_fract_y
_atom_site_fract_z
Ce1 0.0000 0.0000 0.0000
Tm1 0.0000 0.0000 0.5000
As1 0.0000 0.0000 0.2472
```


Record 3
Entry from Alexandria via LeMat-Bulk: crystalline Ce6TmAs8 at its relaxed geometry (PBE).

Values from the calculation:
**Total magnetic moment**: 11.41 μB/cell
**ΔH_f (0 K)**: -1.23 eV per atom

CIF file:
```
data_Ce6TmAs8
_chemical_formula_sum 'Ce24 Tm4 As32'
_space_group_name_H-M_alt 'F m -3 m'
_space_group_IT_number 225
_space_group_name_Hall '-F 4 2 3'
_cell_length_a 11.8372
_cell_length_b 11.8372
_cell_length_c 11.8372
_cell_angle_alpha 90.00
_cell_angle_beta 90.00
_cell_angle_gamma 90.00
loop_
_atom_site_label
_atom_site_fract_x
_atom_site_fract_y
_atom_site_fract_z
Ce1 0.0000 0.2500 0.2500
Tm1 0.0000 0.0000 0.0000
As1 0.0000 0.0000 0.2454
As2 0.2500 0.2500 0.2500
```


Record 4
Entry from Alexandria via LeMat-Bulk: crystalline CeTmU2As4 at its relaxed geometry (PBE).

Values from the calculation:
**Total magnetic moment**: 5.75 μB/cell
**ΔH_f (0 K)**: -1.09 eV per atom

CIF file:
```
data_CeTmU2As4
_chemical_formula_sum 'Ce1 Tm1 U2 As4'
_space_group_name_H-M_alt 'P 1 2/m 1'
_space_group_IT_number 10
_cell_length_a 7.0742
_cell_length_b 4.0836
_cell_length_c 7.2189
_cell_angle_alpha 90.00
_cell_angle_beta 109.06
_cell_angle_gamma 90.00
loop_
_space_group_symop_operation_xyz
'x,y,z'
'-x,-y,-z'
'-x,y,-z'
'x,-y,z'
loop_
_atom_site_label
_atom_site_fract_x
_atom_site_fract_y
_atom_site_fract_z
Ce1 0.0000 0.0000 0.0000
Tm1 0.5000 0.5000 0.0000
U1 0.0000 0.5000 0.5000
U2 0.5000 0.0000 0.5000
As1 0.2542 0.0000 0.7489
As2 0.2565 0.5000 0.2543
```


Record 5
Entry from Alexandria via LeMat-Bulk: crystalline Ce2TmUAs4 at its relaxed geometry (PBE).

Values from the calculation:
**Total magnetic moment**: 3.95 μB/cell
**ΔH_f (0 K)**: -1.26 eV per atom

CIF file:
```
data_Ce2TmUAs4
_chemical_formula_sum 'Ce2 Tm1 U1 As4'
_space_group_name_H-M_alt 'P 1 2/m 1'
_space_group_IT_number 10
_cell_length_a 7.1737
_cell_length_b 4.1342
_cell_length_c 7.1974
_cell_angle_alpha 90.00
_cell_angle_beta 109.28
_cell_angle_gamma 90.00
loop_
_space_group_symop_operation_xyz
'x,y,z'
'-x,-y,-z'
'-x,y,-z'
'x,-y,z'
loop_
_atom_site_label
_atom_site_fract_x
_atom_site_fract_y
_atom_site_fract_z
Ce1 0.0000 0.0000 0.0000
Ce2 0.0000 0.5000 0.5000
Tm1 0.5000 0.0000 0.5000
U1 0.5000 0.5000 0.0000
As1 0.2598 0.0000 0.7525
As2 0.2598 0.5000 0.2527
```


Record 6
Entry from Alexandria via LeMat-Bulk: crystalline CeTm2UAs4 at its relaxed geometry (PBE).

Values from the calculation:
**Total magnetic moment**: 3.14 μB/cell
**ΔH_f (0 K)**: -1.28 eV per atom

CIF file:
```
data_CeTm2UAs4
_chemical_formula_sum 'Ce1 Tm2 U1 As4'
_space_group_name_H-M_alt 'P 1 2/m 1'
_space_group_IT_number 10
_cell_length_a 7.1069
_cell_length_b 4.0951
_cell_length_c 7.1326
_cell_angle_alpha 90.00
_cell_angle_beta 109.33
_cell_angle_gamma 90.00
loop_
_space_group_symop_operation_xyz
'x,y,z'
'-x,-y,-z'
'-x,y,-z'
'x,-y,z'
loop_
_atom_site_label
_atom_site_fract_x
_atom_site_fract_y
_atom_site_fract_z
Ce1 0.0000 0.0000 0.0000
Tm1 0.0000 0.5000 0.5000
Tm2 0.5000 0.0000 0.5000
U1 0.5000 0.5000 0.0000
As1 0.2527 0.0000 0.7458
As2 0.2565 0.5000 0.2558
```


> Which of these has the lowest total magnetic moment?

CeTmAs2